Entry 1:
{
  "formula": "CdPdRu2",
  "functional": "GGA-PBE",
  "state": "optimized geometry",
  "vol_a3_per_atom": 17.7,
  "lattice": [[-3.694, 3.694, 2.588], [3.694, -3.694, 2.588], [3.694, 3.694, -2.588]],
  "species": ["Cd", "Cd", "Pd", "Pd", "Ru", "Ru", "Ru", "Ru"],
  "frac_coords": [[0.000, 0.000, 0.000], [0.750, 0.250, 0.500], [0.250, 0.750, 0.500], [0.500, 0.500, 0.000], [0.150, 0.125, 0.525], [0.375, 0.850, 0.975], [0.600, 0.625, 0.475], [0.875, 0.400, 0.025]]
}

---

Entry 2:
{
  "formula": "Cd3PdRu",
  "functional": "GGA-PBE",
  "state": "optimized geometry",
  "vol_a3_per_atom": 26.4,
  "e_above_lowest_polymorph_ev_per_atom": 0.0000,
  "lattice": [[5.090, 0.000, 0.000], [0.000, 5.090, 0.000], [0.000, 0.000, 5.090]],
  "species": ["Cd", "Cd", "Cd", "Pd", "Ru"],
  "frac_coords": [[0.000, 0.000, 0.500], [0.000, 0.500, 0.000], [0.500, 0.000, 0.000], [0.500, 0.500, 0.500], [0.000, 0.000, 0.000]]
}

---

Entry 3:
{
  "formula": "CdPd2Ru",
  "functional": "GGA-PBE",
  "state": "optimized geometry",
  "vol_a3_per_atom": 17.8,
  "lattice": [[-1.960, 1.960, 9.243], [1.960, -1.960, 9.243], [1.960, 1.960, -9.243]],
  "species": ["Cd", "Cd", "Pd", "Pd", "Pd", "Pd", "Ru", "Ru"],
  "frac_coords": [[0.000, 0.000, 0.000], [0.750, 0.250, 0.500], [0.136, 0.625, 0.011], [0.375, 0.386, 0.511], [0.614, 0.125, 0.989], [0.875, 0.864, 0.489], [0.250, 0.750, 0.500], [0.500, 0.500, 0.000]]
}

---

Entry 4:
{
  "formula": "CdPd3Ru",
  "functional": "GGA-PBE",
  "state": "optimized geometry",
  "vol_a3_per_atom": 23.3,
  "e_above_lowest_polymorph_ev_per_atom": 0.4575,
  "lattice": [[4.883, 0.000, 0.000], [0.000, 4.883, 0.000], [0.000, 0.000, 4.883]],
  "species": ["Cd", "Pd", "Pd", "Pd", "Ru"],
  "frac_coords": [[0.000, 0.000, 0.000], [0.000, 0.000, 0.500], [0.000, 0.500, 0.000], [0.500, 0.000, 0.000], [0.500, 0.500, 0.500]]
}

---

Entry 5:
{
  "formula": "ScCdPdRu",
  "functional": "GGA-PBE",
  "state": "optimized geometry",
  "vol_a3_per_atom": 17.1,
  "lattice": [[0.000, 3.246, 3.246], [3.246, 0.000, 3.246], [3.246, 3.246, 0.000]],
  "species": ["Sc", "Cd", "Pd", "Ru"],
  "frac_coords": [[0.000, 0.000, 0.000], [0.500, 0.500, 0.500], [0.250, 0.250, 0.250], [0.750, 0.750, 0.750]]
}

---

Entry 6:
{
  "formula": "Sc5Cd2Pd2Ru",
  "functional": "GGA-PBE",
  "state": "optimized geometry",
  "vol_a3_per_atom": 20.6,
  "lattice": [[11.252, 0.000, 0.000], [0.000, 11.252, 0.000], [0.000, 0.000, 3.248]],
  "species": ["Sc", "Sc", "Sc", "Sc", "Sc", "Sc", "Sc", "Sc", "Sc", "Sc", "Cd", "Cd", "Cd", "Cd", "Pd", "Pd", "Pd", "Pd", "Ru", "Ru"],
  "frac_coords": [[0.000, 0.500, 0.000], [0.062, 0.188, 0.000], [0.188, 0.938, 0.000], [0.312, 0.438, 0.000], [0.438, 0.688, 0.000], [0.500, 0.000, 0.000], [0.562, 0.312, 0.000], [0.688, 0.562, 0.000], [0.812, 0.062, 0.000], [0.938, 0.812, 0.000], [0.174, 0.674, 0.500], [0.326, 0.174, 0.500], [0.674, 0.826, 0.500], [0.826, 0.326, 0.500], [0.134, 0.366, 0.500], [0.366, 0.866, 0.500], [0.634, 0.134, 0.500], [0.866, 0.634, 0.500], [0.000, 0.000, 0.500], [0.500, 0.500, 0.500]]
}

---

no.,DFT total energy (eV/atom)
1,-5.31
2,-2.60
3,-4.66
4,-3.70
5,-5.80
6,-5.85